(1)
A relaxed structure of LaPr2Dy4Tm, computed with PBE.

Cell: 6.2637 3.6214 11.6187 Å, 90.00 90.02 90.00°
Closest atoms and distances in Å follow each position.
Space group P2/m (No. 10)
Inequivalent atoms, fractional coordinates:
La: 0.0000 0.0000 0.0000  6 Dy 3.60-3.61, 4 Pr 3.62, 2 La 3.62
Pr: 0.0000 0.0000 0.5000  6 Dy 3.55-3.56, 4 Tm 3.62, 2 Pr 3.62
Pr: 0.5000 0.5000 0.0000  6 Dy 3.60-3.61, 4 La 3.62, 2 Pr 3.62
Dy: 0.1661 0.5000 0.2524  3 Pr 3.56-3.60, 1 Tm 3.56, 2 La 3.60, 6 Dy 3.62
Dy: 0.3336 0.0000 0.7467  3 Pr 3.55-3.61, 2 Tm 3.55, 1 La 3.61, 6 Dy 3.62
Tm: 0.5000 0.5000 0.5000  6 Dy 3.55-3.56, 4 Pr 3.62, 2 Tm 3.62

## Properties
The volume comes out at 32.9 Å³/atom. The calculated formation energy is 0.002 eV per atom. For the density of states at the Fermi level, the calculation gives 1.3667 states/eV per atom.

(2)
A relaxed structure of LaPrDy3Tm, computed with PBE.

Cell: 5.9113 11.4167 11.8142 Å, 90.00 90.00 90.00°
Closest atoms and distances in Å follow each position.
Space group Cmcm (No. 63)
Inequivalent atoms, fractional coordinates:
La: 0.0000 0.0058 0.2500  3 Tm 3.50-3.83, 7 Dy 3.57-3.64
Pr: 0.0000 0.5000 0.0000  2 Tm 3.54, 8 Dy 3.57-3.71
Dy: 0.0000 0.1754 0.5042  1 Tm 3.39, 3 Dy 3.41-3.46, 2 La 3.57, 3 Pr 3.57-3.71
Dy: 0.0000 0.3250 0.2500  2 Tm 3.44, 2 Dy 3.46, 2 Pr 3.57, 3 La 3.60-3.64
Tm: 0.0000 0.3294 0.7500  4 Dy 3.39-3.44, 2 La 3.50, 2 Pr 3.54

## Properties
The volume comes out at 33.2 Å³/atom. The calculated formation energy is 0.108 eV per atom. For the density of states at the Fermi level, the calculation gives 2.0108 states/eV per atom.

(3)
A relaxed structure of La2Pr6DyTm3, computed with PBE.

Cell: 6.3391 10.9870 12.0087 Å, 90.00 100.14 90.00°
Closest atoms and distances in Å follow each position.
Space group C2/m (No. 12)
Inequivalent atoms, fractional coordinates:
La: 0.0000 0.1667 0.0000  3 La 3.66, 3 Dy 3.66, 6 Pr 3.69
Pr: 0.2470 0.5000 0.7439  3 Tm 3.57-3.58, 6 Pr 3.65-3.67, 1 Dy 3.69, 2 La 3.69
Pr: 0.2487 0.1660 0.7441  3 Tm 3.57-3.58, 6 Pr 3.65-3.67, 1 Dy 3.69, 2 La 3.69
Dy: 0.0000 0.5000 0.0000  6 La 3.66, 6 Pr 3.69
Tm: 0.0000 0.0000 0.5000  6 Pr 3.57-3.58, 6 Tm 3.66-3.67
Tm: 0.0000 0.3336 0.5000  6 Pr 3.57-3.58, 6 Tm 3.66-3.67

## Properties
The volume comes out at 34.3 Å³/atom. The calculated formation energy is 0.021 eV per atom. For the density of states at the Fermi level, the calculation gives 1.2873 states/eV per atom.

(4)
A relaxed structure of La2Pr5DyTm, computed with PBE.

Cell: 8.6141 8.6141 17.2604 Å, 90.00 90.00 90.00°
Closest atoms and distances in Å follow each position.
Space group I4/mcm (No. 140)
Inequivalent atoms, fractional coordinates:
La: 0.1238 0.3762 0.0000  1 La 3.02, 2 Pr 3.12
Pr: 0.0000 0.0000 0.0000  4 La 3.41
Pr: 0.2244 0.2756 0.3545  1 La 3.12, 1 Tm 3.27
Dy: 0.0000 0.0000 0.2500  8 Pr 3.55
Tm: 0.0000 0.5000 0.2500  4 Pr 3.27

## Properties
The volume comes out at 35.6 Å³/atom. The calculated formation energy is 0.245 eV per atom. For the density of states at the Fermi level, the calculation gives 1.4284 states/eV per atom.

(5)
A relaxed structure of La6Pr2DyTm, computed with PBE.

Cell: 9.9012 15.3952 9.3150 Å, 90.00 90.84 90.00°
Closest atoms and distances in Å follow each position.
Space group C2/c (No. 15)
Inequivalent atoms, fractional coordinates:
La: 0.0736 0.1459 0.0951  4 La 3.25-3.60, 1 Dy 3.48, 1 Pr 3.59
La: 0.0743 0.3508 0.9096  4 La 3.30-3.60, 2 Tm 3.51-3.69, 1 Pr 3.60
La: 0.2472 0.2818 0.3188  3 La 3.40-3.52, 1 Dy 3.45, 1 Tm 3.45, 1 Pr 3.51
Pr: 0.2487 0.4558 0.5620  2 Tm 3.48-3.80, 2 Dy 3.50-3.88, 6 La 3.51-3.82
Dy: 0.0000 0.0708 0.7500  6 La 3.45-3.71, 2 Pr 3.50
Tm: 0.0000 0.4349 0.2500  6 La 3.45-3.69, 4 Pr 3.48-3.80

## Properties
The volume comes out at 35.5 Å³/atom. The calculated formation energy is 0.113 eV per atom. For the density of states at the Fermi level, the calculation gives 1.2660 states/eV per atom.

(6)
A relaxed structure of La3PrDyTm, computed with PBE.

Cell: 8.1071 5.2276 10.4367 Å, 90.00 108.85 90.00°
Closest atoms and distances in Å follow each position.
Space group P2_1/m (No. 11)
Inequivalent atoms, fractional coordinates:
La: 0.1707 0.2500 0.0420  3 Dy 3.63, 1 Tm 3.64, 3 Pr 3.69-3.71, 5 La 3.70-3.71
La: 0.1713 0.2500 0.5431  3 Tm 3.62-3.65, 1 Dy 3.63, 3 Pr 3.69-3.70, 5 La 3.69-3.72
La: 0.1736 0.7500 0.2936  3 Tm 3.61-3.63, 1 Dy 3.62, 6 La 3.69-3.72, 2 Pr 3.72
Pr: 0.1708 0.7500 0.7922  1 Tm 3.62, 3 Dy 3.63-3.64, 8 La 3.69-3.72
Dy: 0.5005 0.2500 0.8758  5 La 3.62-3.63, 3 Pr 3.63-3.64, 2 Dy 3.68, 2 Tm 3.69
Tm: 0.4986 0.7500 0.6253  7 La 3.61-3.65, 1 Pr 3.62, 2 Dy 3.69, 2 Tm 3.70

## Properties
The volume comes out at 34.9 Å³/atom. The calculated formation energy is 0.032 eV per atom. For the density of states at the Fermi level, the calculation gives 1.8377 states/eV per atom.

(7)
A relaxed structure of La2Pr6DyTm, computed with PBE.

Cell: 9.2630 15.3608 10.1513 Å, 90.00 100.28 90.00°
Closest atoms and distances in Å follow each position.
Space group C2/c (No. 15)
Inequivalent atoms, fractional coordinates:
La: 0.2424 0.0481 0.0417  5 Pr 3.30-3.61, 2 Dy 3.42-3.48, 1 Tm 3.63
Pr: 0.0664 0.1889 0.4446  8 Pr 3.51-3.92, 1 La 3.61, 1 Dy 3.67, 1 Tm 3.86
Pr: 0.1032 0.3989 0.6209  3 La 3.30-3.56, 4 Pr 3.41-3.68, 1 Tm 3.48
Pr: 0.2016 0.2176 0.8099  4 Pr 3.41-3.72, 1 La 3.48, 1 Tm 3.49, 1 Dy 3.65
Dy: 0.0000 0.0132 0.7500  4 La 3.42-3.48, 4 Pr 3.65-3.67
Tm: 0.0000 0.4054 0.2500  8 Pr 3.48-3.86, 2 La 3.63

## Properties
The volume comes out at 35.5 Å³/atom. The calculated formation energy is 0.110 eV per atom. For the density of states at the Fermi level, the calculation gives 1.5517 states/eV per atom.

(8)
A relaxed structure of LaPr4DyTm2, computed with PBE.

Cell: 11.4674 5.1699 10.3451 Å, 90.00 116.93 90.00°
Closest atoms and distances in Å follow each position.
Space group C2/m (No. 12)
Inequivalent atoms, fractional coordinates:
La: 0.0000 0.0000 0.0000  8 Pr 3.64-3.65, 4 Tm 3.68
Pr: 0.2485 0.0000 0.8730  1 Dy 3.61, 4 Tm 3.63-3.68, 3 La 3.64-3.65, 4 Pr 3.65-3.67
Pr: 0.2494 0.5000 0.6241  4 Tm 3.60-3.64, 3 Dy 3.63-3.64, 1 La 3.64, 4 Pr 3.65
Dy: 0.0000 0.0000 0.5000  8 Pr 3.61-3.64, 4 Tm 3.63
Tm: 0.0001 0.5000 0.2536  8 Pr 3.60-3.68, 2 Dy 3.63, 2 La 3.68

## Properties
The volume comes out at 34.2 Å³/atom. The calculated formation energy is 0.022 eV per atom. For the density of states at the Fermi level, the calculation gives 1.5051 states/eV per atom.

(9)
A relaxed structure of La2PrDy4Tm, computed with PBE.

Cell: 6.8276 11.9220 13.3286 Å, 90.00 90.00 90.00°
Closest atoms and distances in Å follow each position.
Space group Imma (No. 74)
Inequivalent atoms, fractional coordinates:
La: 0.0000 0.0000 0.0000  6 Dy 3.33-3.44, 2 Pr 3.41
La: 0.2500 0.2500 0.2500  2 La 3.41, 6 Dy 3.42-3.50
Pr: 0.0000 0.0000 0.5000  6 Dy 3.34-3.43, 2 La 3.41
Dy: 0.0000 0.0067 0.7503  3 La 3.33-3.50, 1 Pr 3.34, 2 Tm 3.37, 2 Dy 3.41
Dy: 0.2490 0.2500 0.5068  1 Tm 3.24, 2 Dy 3.40-3.43, 3 La 3.42-3.44, 2 Pr 3.43
Tm: 0.2500 0.2500 0.7500  6 Dy 3.24-3.37, 2 Tm 3.41

## Properties
The volume comes out at 33.9 Å³/atom. The calculated formation energy is 0.391 eV per atom. For the density of states at the Fermi level, the calculation gives 2.3788 states/eV per atom.

(10)
A relaxed structure of La3PrDy2Tm6, computed with PBE.

Cell: 6.2159 10.7634 11.7555 Å, 90.00 100.14 90.00°
Closest atoms and distances in Å follow each position.
Space group C2/m (No. 12)
Inequivalent atoms, fractional coordinates:
La: 0.0000 0.0000 0.0000  6 La 3.59, 6 Tm 3.59-3.60
La: 0.0000 0.3334 0.0000  6 La 3.59, 6 Tm 3.59-3.60
Pr: 0.0000 0.5000 0.5000  6 Tm 3.52-3.53, 6 Dy 3.59
Dy: 0.0000 0.1668 0.5000  6 Tm 3.52, 3 Pr 3.59, 3 Dy 3.59
Tm: 0.2480 0.0000 0.7462  2 Dy 3.52, 1 Pr 3.53, 6 Tm 3.58-3.60, 3 La 3.59-3.60
Tm: 0.2490 0.3330 0.7462  2 Dy 3.52, 1 Pr 3.52, 6 Tm 3.58-3.60, 3 La 3.59-3.60

## Properties
The volume comes out at 32.3 Å³/atom. The calculated formation energy is 0.023 eV per atom. For the density of states at the Fermi level, the calculation gives 1.2117 states/eV per atom.

(11)
A relaxed structure of LaPr6DyTm2, computed with PBE.

Cell: 9.3610 15.3553 9.8324 Å, 90.00 98.33 90.00°
Closest atoms and distances in Å follow each position.
Space group C2/c (No. 15)
Inequivalent atoms, fractional coordinates:
La: 0.0000 0.0943 0.2500  6 Pr 3.50-3.63, 2 Tm 3.62
Pr: 0.0655 0.3266 0.4448  7 Pr 3.47-3.88, 2 Tm 3.48-3.84, 2 Dy 3.68-3.83
Pr: 0.0969 0.1064 0.6205  3 Pr 3.31-3.47, 3 Tm 3.36-3.51, 2 La 3.50-3.63
Pr: 0.2092 0.2749 0.8173  2 Pr 3.31-3.64, 1 La 3.52, 1 Tm 3.53, 1 Dy 3.58
Dy: 0.0000 0.4691 0.7500  4 Tm 3.44, 6 Pr 3.58-3.83
Tm: 0.2417 0.4529 0.0475  6 Pr 3.36-3.75, 2 Dy 3.44, 1 La 3.62

## Properties
The volume comes out at 35.0 Å³/atom. The calculated formation energy is 0.110 eV per atom. For the density of states at the Fermi level, the calculation gives 1.4984 states/eV per atom.

(12)
A relaxed structure of LaPr3Dy2Tm6, computed with PBE.

Cell: 6.2102 10.7523 11.7537 Å, 90.00 100.12 90.00°
Closest atoms and distances in Å follow each position.
Space group C2/m (No. 12)
Inequivalent atoms, fractional coordinates:
La: 0.0000 0.0000 0.0000  6 Tm 3.54-3.55, 6 Dy 3.58-3.59
Pr: 0.0000 0.1670 0.5000  6 Tm 3.57-3.58, 6 Pr 3.58-3.59
Pr: 0.0000 0.5000 0.5000  6 Tm 3.57, 6 Pr 3.58-3.59
Dy: 0.0000 0.3332 0.0000  6 Tm 3.54, 3 La 3.58-3.59, 3 Dy 3.58-3.59
Tm: 0.2485 0.5000 0.2484  2 Dy 3.54, 1 La 3.54, 3 Pr 3.57-3.58, 6 Tm 3.58-3.60
Tm: 0.2504 0.1672 0.2483  2 Dy 3.54, 1 La 3.55, 3 Pr 3.57-3.58, 6 Tm 3.58-3.60

## Properties
The volume comes out at 32.2 Å³/atom. The calculated formation energy is 0.023 eV per atom. For the density of states at the Fermi level, the calculation gives 1.1589 states/eV per atom.